Computed, not measured: crystalline As5Pb3Au12 at its relaxed geometry at the PBE-GGA level of DFT.

Cell and atoms, written as extended XYZ:
```
80
Lattice="-7.764 8.010 7.923 -0.787 -12.925 4.419 12.998 4.235 0.580" Properties=species:S:1:pos:R:3 pbc="T T T"
Pb -4.494 1.690 7.672
Pb -5.759 -2.156 10.319
Pb 4.622 -4.044 6.648
Pb 2.835 1.975 2.751
Pb -3.643 6.452 7.630
Pb -0.154 -4.016 5.878
Pb 4.600 3.335 7.044
Pb 8.089 -7.132 5.292
Pb 1.612 -2.656 10.171
Pb -0.175 3.363 6.274
Pb 10.206 1.475 2.603
Pb 8.940 -2.370 5.250
As 1.984 -2.787 2.793
As -0.394 -6.463 2.210
As 0.000 0.000 0.000
As -1.484 0.302 4.148
As 2.617 6.122 4.251
As -4.276 -2.458 6.171
As 3.313 -7.105 4.522
As 5.451 8.097 7.002
As -1.441 -0.483 8.922
As 6.738 4.564 3.958
As -2.292 -5.245 8.964
As 2.223 -0.340 6.461
As -3.882 4.005 3.961
As 6.499 2.117 0.290
As 5.887 -0.198 4.000
As -1.005 -8.778 5.920
As 6.105 -4.345 2.500
As 1.133 6.424 8.400
As 5.930 -0.982 8.774
As 2.463 2.106 10.129
Au -5.090 4.336 6.230
Au 2.502 -2.610 5.241
Au -4.027 3.983 9.418
Au -2.802 2.084 5.324
Au 3.567 -1.645 8.252
Au -5.648 0.913 10.240
Au 2.122 -5.796 6.301
Au 0.258 -10.571 4.702
Au 3.490 -4.886 9.205
Au -3.782 -1.212 8.389
Au -1.538 1.981 8.456
Au -6.593 -5.094 10.654
Au 5.549 -5.969 4.441
Au -2.054 -2.019 4.911
Au 3.465 -9.557 5.030
Au 4.270 4.133 4.096
Au 1.937 -0.566 1.626
Au -3.053 -4.694 6.637
Au -3.440 -3.882 10.730
Au -0.242 -3.946 2.808
Au 6.511 -6.017 7.680
Au 0.301 -1.679 7.570
Au -0.746 -1.022 11.271
Au 5.433 5.888 8.192
Au 4.145 0.999 5.352
Au 5.192 0.341 1.651
Au -0.987 -6.569 4.730
Au 7.886 3.201 2.192
Au -2.065 5.336 5.242
Au 4.688 3.265 10.114
Au 7.499 4.014 6.285
Au 0.176 -4.814 8.826
Au 2.509 -0.114 11.296
Au 0.981 8.876 7.892
Au -1.103 5.288 8.481
Au 11.040 4.413 2.268
Au 6.500 1.339 8.011
Au 0.957 4.206 3.717
Au 8.228 0.531 4.533
Au 5.984 -2.661 4.466
Au 4.188 9.890 8.220
Au 2.324 5.115 6.621
Au 7.248 -2.764 7.598
Au 10.094 -1.594 2.682
Au 0.879 0.964 4.670
Au 8.473 -4.664 3.504
Au 1.944 1.929 7.681
Au 9.536 -5.017 6.692
```

Results
DFT total energy = -70.71 eV per formula unit
DOS(E_F) = 0.42 states/eV per atom